# FeWBr2 (GGA-PBE, relaxed)
data_FeWBr2
_symmetry_space_group_name_H-M 'P 1 2/m 1'
_symmetry_Int_Tables_number 10
_cell_length_a 3.0514
_cell_length_b 4.3368
_cell_length_c 5.8907
_cell_angle_alpha 90.00
_cell_angle_beta 100.32
_cell_angle_gamma 90.00
loop_
_symmetry_equiv_pos_as_xyz
'x,y,z'
'-x,-y,-z'
'-x,y,-z'
'x,-y,z'
loop_
_atom_site_label
_atom_site_type_symbol
_atom_site_fract_x
_atom_site_fract_y
_atom_site_fract_z
_atom_site_occupancy
Fe1 Fe 0.0000 0.0000 0.0000 1
W1 W 0.0000 0.0000 0.5000 1
Br1 Br 0.1713 0.5000 0.7518 1
# E_tot: -5.20 eV/atom
# Spin magnetization: 3.44 μB per formula unit
# Volume: 77 Å³/f.u.
# Theoretical density: 8.6 g/cm3
# E_form (uncorrected): 989 meV per atom
# Distance to the lowest polymorph of the same formula: 859 meV/atom

=====

# FeWBr2 (GGA-PBE, relaxed)
data_FeWBr2
_symmetry_space_group_name_H-M 'C 1 2/m 1'
_symmetry_Int_Tables_number 12
_cell_length_a 6.1085
_cell_length_b 8.5228
_cell_length_c 3.0171
_cell_angle_alpha 90.00
_cell_angle_beta 93.69
_cell_angle_gamma 90.00
loop_
_symmetry_equiv_pos_as_xyz
'x,y,z'
'-x,-y,-z'
'-x,y,-z'
'x,-y,z'
'x+1/2,y+1/2,z'
'-x+1/2,-y+1/2,-z'
'-x+1/2,y+1/2,-z'
'x+1/2,-y+1/2,z'
loop_
_atom_site_label
_atom_site_type_symbol
_atom_site_fract_x
_atom_site_fract_y
_atom_site_fract_z
_atom_site_occupancy
Fe1 Fe 0.0000 0.0000 0.0000 1
W1 W 0.0000 0.5000 0.0000 1
Br1 Br 0.2500 0.2500 0.0000 1
# E_tot: -5.10 eV/atom
# Spin magnetization: 3.06 μB per formula unit
# Volume: 78 Å³/f.u.
# Theoretical density: 8.5 g/cm3
# E_form (uncorrected): 1094 meV per atom
# Distance to the lowest polymorph of the same formula: 964 meV/atom

=====

# Fe3WBr (GGA-PBE, relaxed)
data_Fe3WBr
_symmetry_space_group_name_H-M 'P m -3 m'
_symmetry_Int_Tables_number 221
_symmetry_space_group_name_Hall '-P 4 2 3'
_cell_length_a 4.2681
_cell_length_b 4.2681
_cell_length_c 4.2681
_cell_angle_alpha 90.00
_cell_angle_beta 90.00
_cell_angle_gamma 90.00
loop_
_atom_site_label
_atom_site_type_symbol
_atom_site_fract_x
_atom_site_fract_y
_atom_site_fract_z
_atom_site_occupancy
Fe1 Fe 0.0000 0.0000 0.5000 1
W1 W 0.5000 0.5000 0.5000 1
Br1 Br 0.0000 0.0000 0.0000 1
# E_tot: -6.38 eV/atom
# Spin magnetization: 5.35 μB per formula unit
# Volume: 78 Å³/f.u.
# Theoretical density: 9.2 g/cm3
# E_form (uncorrected): 1628 meV per atom
# Distance to the lowest polymorph of the same formula: 3 meV/atom

=====

# FeWBr2 (GGA-PBE, relaxed)
data_FeWBr2
_symmetry_space_group_name_H-M 'F m -3 m'
_symmetry_Int_Tables_number 225
_symmetry_space_group_name_Hall '-F 4 2 3'
_cell_length_a 6.3196
_cell_length_b 6.3196
_cell_length_c 6.3196
_cell_angle_alpha 90.00
_cell_angle_beta 90.00
_cell_angle_gamma 90.00
loop_
_atom_site_label
_atom_site_type_symbol
_atom_site_fract_x
_atom_site_fract_y
_atom_site_fract_z
_atom_site_occupancy
Fe1 Fe 0.0000 0.0000 0.0000 1
W1 W 0.0000 0.0000 0.5000 1
Br1 Br 0.2500 0.2500 0.2500 1
# E_tot: -4.84 eV/atom
# Spin magnetization: 0.00 μB per formula unit
# Volume: 63 Å³/f.u.
# Theoretical density: 10.5 g/cm3
# E_form (uncorrected): 1348 meV per atom
# Distance to the lowest polymorph of the same formula: 1219 meV/atom

=====

# FeWBr2 (GGA-PBE, relaxed)
data_FeWBr2
_symmetry_space_group_name_H-M 'I m m 2'
_symmetry_Int_Tables_number 44
_cell_length_a 3.0919
_cell_length_b 3.2440
_cell_length_c 17.9081
_cell_angle_alpha 90.00
_cell_angle_beta 90.00
_cell_angle_gamma 90.00
loop_
_symmetry_equiv_pos_as_xyz
'x,y,z'
'-x,-y,z'
'-x,y,z'
'x,-y,z'
'x+1/2,y+1/2,z+1/2'
'-x+1/2,-y+1/2,z+1/2'
'-x+1/2,y+1/2,z+1/2'
'x+1/2,-y+1/2,z+1/2'
loop_
_atom_site_label
_atom_site_type_symbol
_atom_site_fract_x
_atom_site_fract_y
_atom_site_fract_z
_atom_site_occupancy
Fe1 Fe 0.0000 0.0000 0.0000 1
W1 W 0.0000 0.5000 0.9125 1
Br1 Br 0.0000 0.0000 0.5918 1
Br2 Br 0.0000 0.5000 0.3121 1
# E_tot: -5.67 eV/atom
# Spin magnetization: 0.00 μB per formula unit
# Volume: 90 Å³/f.u.
# Theoretical density: 7.4 g/cm3
# E_form (uncorrected): 525 meV per atom
# Distance to the lowest polymorph of the same formula: 395 meV/atom

=====

# Fe3WBr (GGA-PBE, relaxed)
data_Fe3WBr
_symmetry_space_group_name_H-M 'P m -3 m'
_symmetry_Int_Tables_number 221
_symmetry_space_group_name_Hall '-P 4 2 3'
_cell_length_a 4.6192
_cell_length_b 4.6192
_cell_length_c 4.6192
_cell_angle_alpha 90.00
_cell_angle_beta 90.00
_cell_angle_gamma 90.00
loop_
_atom_site_label
_atom_site_type_symbol
_atom_site_fract_x
_atom_site_fract_y
_atom_site_fract_z
_atom_site_occupancy
Fe1 Fe 0.0000 0.0000 0.5000 1
W1 W 0.0000 0.0000 0.0000 1
Br1 Br 0.5000 0.5000 0.5000 1
# E_tot: -6.38 eV/atom
# Spin magnetization: 5.29 μB per formula unit
# Volume: 99 Å³/f.u.
# Theoretical density: 7.3 g/cm3
# E_form (uncorrected): 1625 meV per atom
# Distance to the lowest polymorph of the same formula: 0 meV/atom

=====

# FeWBr2 (GGA-PBE, relaxed)
data_FeWBr2
_symmetry_space_group_name_H-M 'C 1 2/m 1'
_symmetry_Int_Tables_number 12
_cell_length_a 15.2208
_cell_length_b 3.1316
_cell_length_c 4.1812
_cell_angle_alpha 90.00
_cell_angle_beta 100.89
_cell_angle_gamma 90.00
loop_
_symmetry_equiv_pos_as_xyz
'x,y,z'
'-x,-y,-z'
'-x,y,-z'
'x,-y,z'
'x+1/2,y+1/2,z'
'-x+1/2,-y+1/2,-z'
'-x+1/2,y+1/2,-z'
'x+1/2,-y+1/2,z'
loop_
_atom_site_label
_atom_site_type_symbol
_atom_site_fract_x
_atom_site_fract_y
_atom_site_fract_z
_atom_site_occupancy
Fe1 Fe 0.0000 0.0000 0.0000 1
W1 W 0.0000 0.5000 0.5000 1
Br1 Br 0.1403 0.0000 0.6708 1
# E_tot: -5.75 eV/atom
# Spin magnetization: 2.23 μB per formula unit
# Volume: 98 Å³/f.u.
# Theoretical density: 6.8 g/cm3
# E_form (uncorrected): 441 meV per atom
# Distance to the lowest polymorph of the same formula: 311 meV/atom

=====

# FeWBr2 (GGA-PBE, relaxed)
data_FeWBr2
_symmetry_space_group_name_H-M 'C m m m'
_symmetry_Int_Tables_number 65
_symmetry_space_group_name_Hall '-C 2 2'
_cell_length_a 3.0157
_cell_length_b 5.8031
_cell_length_c 8.8224
_cell_angle_alpha 90.00
_cell_angle_beta 90.00
_cell_angle_gamma 90.00
loop_
_atom_site_label
_atom_site_type_symbol
_atom_site_fract_x
_atom_site_fract_y
_atom_site_fract_z
_atom_site_occupancy
Fe1 Fe 0.0000 0.0000 0.0000 1
W1 W 0.0000 0.0000 0.5000 1
Br1 Br 0.0000 0.5000 0.2551 1
# E_tot: -5.17 eV/atom
# Spin magnetization: 3.85 μB per formula unit
# Volume: 77 Å³/f.u.
# Theoretical density: 8.6 g/cm3
# E_form (uncorrected): 1019 meV per atom
# Distance to the lowest polymorph of the same formula: 889 meV/atom

=====

# FeWBr2 (GGA-PBE, relaxed)
data_FeWBr2
_symmetry_space_group_name_H-M 'I -4 2 d'
_symmetry_Int_Tables_number 122
_symmetry_space_group_name_Hall 'I -4 2bw'
_cell_length_a 5.7974
_cell_length_b 5.7974
_cell_length_c 10.4422
_cell_angle_alpha 90.00
_cell_angle_beta 90.00
_cell_angle_gamma 90.00
loop_
_atom_site_label
_atom_site_type_symbol
_atom_site_fract_x
_atom_site_fract_y
_atom_site_fract_z
_atom_site_occupancy
Fe1 Fe 0.0000 0.0000 0.0000 1
W1 W 0.0000 0.0000 0.5000 1
Br1 Br 0.2280 0.2500 0.1250 1
# E_tot: -4.92 eV/atom
# Spin magnetization: 0.88 μB per formula unit
# Volume: 88 Å³/f.u.
# Theoretical density: 7.6 g/cm3
# E_form (uncorrected): 1272 meV per atom
# Distance to the lowest polymorph of the same formula: 1142 meV/atom

=====

# FeWBr2 (GGA-PBE, relaxed)
data_FeWBr2
_symmetry_space_group_name_H-M 'I -4 m 2'
_symmetry_Int_Tables_number 119
_symmetry_space_group_name_Hall 'I -4 -2'
_cell_length_a 4.1931
_cell_length_b 4.1931
_cell_length_c 8.3435
_cell_angle_alpha 90.00
_cell_angle_beta 90.00
_cell_angle_gamma 90.00
loop_
_atom_site_label
_atom_site_type_symbol
_atom_site_fract_x
_atom_site_fract_y
_atom_site_fract_z
_atom_site_occupancy
Fe1 Fe 0.0000 0.0000 0.0000 1
W1 W 0.0000 0.5000 0.7500 1
Br1 Br 0.0000 0.0000 0.5000 1
Br2 Br 0.0000 0.5000 0.2500 1
# E_tot: -4.79 eV/atom
# Spin magnetization: 1.47 μB per formula unit
# Volume: 73 Å³/f.u.
# Theoretical density: 9.0 g/cm3
# E_form (uncorrected): 1404 meV per atom
# Distance to the lowest polymorph of the same formula: 1274 meV/atom

=====

# Fe4WBr (GGA-PBE, relaxed)
data_Fe4WBr
_symmetry_space_group_name_H-M 'F -4 3 m'
_symmetry_Int_Tables_number 216
_symmetry_space_group_name_Hall 'F -4 2 3'
_cell_length_a 6.8885
_cell_length_b 6.8885
_cell_length_c 6.8885
_cell_angle_alpha 90.00
_cell_angle_beta 90.00
_cell_angle_gamma 90.00
loop_
_atom_site_label
_atom_site_type_symbol
_atom_site_fract_x
_atom_site_fract_y
_atom_site_fract_z
_atom_site_occupancy
Fe1 Fe 0.1239 0.1239 0.1239 1
W1 W 0.2500 0.2500 0.7500 1
Br1 Br 0.0000 0.0000 0.5000 1
# E_tot: -7.38 eV/atom
# Spin magnetization: 7.73 μB per formula unit
# Volume: 82 Å³/f.u.
# Theoretical density: 9.9 g/cm3
# E_form (uncorrected): 697 meV per atom

=====

# FeWBr2 (GGA-PBE, relaxed)
data_FeWBr2
_symmetry_space_group_name_H-M 'R 3 m'
_symmetry_Int_Tables_number 160
_symmetry_space_group_name_Hall 'R 3 -2"'
_cell_length_a 3.4118
_cell_length_b 3.4118
_cell_length_c 26.9616
_cell_angle_alpha 90.00
_cell_angle_beta 90.00
_cell_angle_gamma 120.00
loop_
_atom_site_label
_atom_site_type_symbol
_atom_site_fract_x
_atom_site_fract_y
_atom_site_fract_z
_atom_site_occupancy
Fe1 Fe 0.0000 0.0000 0.0000 1
W1 W 0.0000 0.0000 0.2866 1
Br1 Br 0.0000 0.0000 0.5452 1
Br2 Br 0.0000 0.0000 0.7292 1
# E_tot: -6.06 eV/atom
# Spin magnetization: 0.01 μB per formula unit
# Volume: 91 Å³/f.u.
# Theoretical density: 7.3 g/cm3
# E_form (uncorrected): 130 meV per atom
# Distance to the lowest polymorph of the same formula: 0 meV/atom